Compound: BaLiAg2
Source: Alexandria via LeMat-Bulk
Functional: PBE-GGA
Structure: optimized geometry

a = 4.871 Å, b = 7.612 Å, c = 7.134 Å
α = 122.24°, β = 90.00°, γ = 90.00°
Positions (direct):
Ba 0.250 0.846 0.692
Ba 0.750 0.154 0.308
Ag 0.250 0.766 0.147
Ag 0.250 0.381 0.147
Ag 0.750 0.619 0.853
Li 0.750 0.611 0.221
Ag 0.750 0.234 0.853
Li 0.250 0.389 0.779

Results
Energy relative to the elements: -193 meV per atom
SG: No. 63
E: -10.31 eV per formula unit
Magnetization: 0.00 μB/atom

Compound: Ce2ScAs4Rh3
Source: Alexandria via LeMat-Bulk
Functional: PBE-GGA
Structure: optimized geometry

a = 4.314 Å, b = 4.314 Å, c = 10.426 Å
α = 90.00°, β = 90.00°, γ = 90.00°
Positions (direct):
Ce 0.500 0.000 0.229
Ce 0.000 0.500 0.771
Rh 0.000 0.000 0.500
Rh 0.000 0.500 0.113
Rh 0.500 0.000 0.887
As 0.500 0.000 0.650
As 0.000 0.000 0.000
As 0.500 0.500 0.000
Sc 0.500 0.500 0.500
As 0.000 0.500 0.350

Results
Energy relative to the elements: -986 meV per atom
SG: No. 115
E: -68.71 eV per formula unit
Magnetization: 0.10 μB/atom

Compound: Sr3Al4Zn2
Source: Alexandria via LeMat-Bulk
Functional: PBE-GGA
Structure: optimized geometry

a = 4.661 Å, b = 6.182 Å, c = 9.090 Å
α = 104.11°, β = 90.00°, γ = 112.14°
Positions (direct):
Al 0.728 0.455 0.067
Sr 0.364 0.727 0.315
Zn 0.662 0.324 0.326
Al 0.272 0.545 0.933
Al 0.905 0.810 0.579
Sr 0.636 0.273 0.685
Sr 0.000 0.000 0.000
Zn 0.338 0.676 0.674
Al 0.095 0.190 0.421

Results
Energy relative to the elements: -216 meV per atom
SG: No. 12
E: -24.51 eV per formula unit
Magnetization: 0.00 μB/atom

Compound: Rb2AgH2
Source: Alexandria via LeMat-Bulk
Functional: PBE-GGA
Structure: optimized geometry

a = 8.081 Å, b = 8.081 Å, c = 3.675 Å
α = 90.00°, β = 90.00°, γ = 90.00°
Positions (direct):
Rb 0.651 0.849 0.500
H 0.656 0.156 0.000
Rb 0.151 0.651 0.500
Ag 0.500 0.500 0.000
H 0.156 0.344 0.000
H 0.344 0.844 0.000
Rb 0.349 0.151 0.500
Ag 0.000 0.000 0.000
Rb 0.849 0.349 0.500
H 0.844 0.656 0.000

Results
SG: No. 127
E: -10.52 eV per formula unit
Magnetization: 0.00 μB/atom

Compound: SrScMn
Source: Alexandria via LeMat-Bulk
Functional: PBE-GGA
Structure: optimized geometry

a = 3.497 Å, b = 3.497 Å, c = 7.833 Å
α = 90.00°, β = 90.00°, γ = 120.00°
Positions (direct):
Mn 0.000 0.000 0.027
Sr 0.333 0.667 0.691
Sc 0.667 0.333 0.282

Results
Energy relative to the elements: 579 meV per atom
SG: No. 156
E: -15.45 eV per formula unit
Magnetization: 1.12 μB/atom

Compound: CsBi2Cl7
Source: Alexandria via LeMat-Bulk
Functional: PBE-GGA
Structure: optimized geometry

a = 5.464 Å, b = 8.295 Å, c = 8.295 Å
α = 116.47°, β = 90.00°, γ = 90.00°
Positions (direct):
Cl 0.500 0.047 0.327
Bi 0.500 0.301 0.699
Cl 0.500 0.500 0.500
Cl 0.000 0.712 0.288
Cl 0.500 0.673 0.953
Cl 0.500 0.327 0.047
Cl 0.500 0.953 0.673
Cs 0.000 0.000 0.000
Cl 0.000 0.288 0.712
Bi 0.500 0.699 0.301

Results
SG: No. 65
E: -33.45 eV per formula unit
Formation energy without anion corrections: -1.19 eV/atom
Magnetization: 0.00 μB/atom

Compound: Ca2TaPb
Source: Alexandria via LeMat-Bulk
Functional: PBE-GGA
Structure: optimized geometry

a = 6.784 Å, b = 6.095 Å, c = 3.203 Å
α = 86.95°, β = 67.87°, γ = 117.23°
Positions (direct):
Ta 0.500 0.500 0.000
Ca 0.000 0.000 0.000
Pb 0.000 0.500 0.500
Ca 0.500 0.000 0.500

Results
Energy relative to the elements: 391 meV per atom
SG: No. 12
E: -18.00 eV per formula unit
Magnetization: 0.00 μB/atom

Compound: LiTbDy2Te5
Source: Alexandria via LeMat-Bulk
Functional: PBE-GGA
Structure: optimized geometry

a = 4.325 Å, b = 9.471 Å, c = 13.194 Å
α = 90.00°, β = 90.00°, γ = 103.20°
Positions (direct):
Dy 0.873 0.746 0.798
Li 0.444 0.889 0.464
Te 0.045 0.091 0.076
Te 0.503 0.005 0.283
Te 0.636 0.273 0.499
Te 0.687 0.375 0.842
Te 0.364 0.727 0.999
Dy 0.894 0.789 0.184
Te 0.718 0.435 0.170
Dy 0.106 0.211 0.684
Tb 0.197 0.394 0.008
Dy 0.127 0.254 0.298
Li 0.556 0.111 0.964
Tb 0.803 0.606 0.508
Te 0.497 0.995 0.783
Te 0.313 0.625 0.342
Te 0.955 0.909 0.576
Te 0.282 0.565 0.670

Results
SG: No. 36
E: -42.52 eV per formula unit
Formation energy without anion corrections: -1.23 eV/atom
Magnetization: 0.00 μB/atom

Compound: V3GaFe
Source: Alexandria via LeMat-Bulk
Functional: PBE-GGA
Structure: optimized geometry

a = 3.983 Å, b = 4.797 Å, c = 7.943 Å
α = 82.52°, β = 90.00°, γ = 114.53°
Positions (direct):
Fe 0.216 0.433 0.914
V 0.137 0.275 0.554
V 0.863 0.725 0.446
V 0.691 0.382 0.757
V 0.309 0.618 0.243
V 0.961 0.923 0.844
V 0.039 0.077 0.156
Ga 0.587 0.174 0.350
Fe 0.784 0.567 0.086
Ga 0.413 0.826 0.650

Results
Energy relative to the elements: 67 meV per atom
SG: No. 12
E: -38.51 eV per formula unit
Magnetization: 0.00 μB/atom

Compound: Sr2ZnRhN
Source: Alexandria via LeMat-Bulk
Functional: PBE-GGA
Structure: optimized geometry

a = 5.417 Å, b = 5.417 Å, c = 3.847 Å
α = 90.00°, β = 90.00°, γ = 90.00°
Positions (direct):
Sr 0.500 0.000 0.000
Zn 0.500 0.500 0.500
Sr 0.000 0.500 0.000
N 0.000 0.000 0.000
Rh 0.000 0.000 0.500

Results
SG: No. 123
E: -22.47 eV per formula unit
Formation energy without anion corrections: -0.43 eV/atom
Magnetization: 0.00 μB/atom

Compound: YTe4Mo
Source: Alexandria via LeMat-Bulk
Functional: PBE-GGA
Structure: optimized geometry

a = 6.289 Å, b = 6.289 Å, c = 6.289 Å
α = 60.00°, β = 60.00°, γ = 60.00°
Positions (direct):
Te 0.375 0.876 0.375
Y 0.750 0.750 0.750
Mo 0.000 0.000 0.000
Te 0.375 0.375 0.375
Te 0.876 0.375 0.375
Te 0.375 0.375 0.876

Results
SG: No. 216
E: -25.57 eV per formula unit
Formation energy without anion corrections: 0.72 eV/atom
Magnetization: 0.79 μB/atom

Compound: MnH3Se
Source: Alexandria via LeMat-Bulk
Functional: PBE-GGA
Structure: optimized geometry

a = 3.781 Å, b = 3.781 Å, c = 3.781 Å
α = 90.00°, β = 90.00°, γ = 90.00°
Positions (direct):
H 0.000 0.500 0.000
Mn 0.500 0.500 0.500
Se 0.000 0.000 0.000
H 0.500 0.000 0.000
H 0.000 0.000 0.500

Results
SG: No. 221
E: -17.95 eV per formula unit
Magnetization: 0.94 μB/atom

Compound: Cs2HfCCl6
Source: Alexandria via LeMat-Bulk
Functional: PBE-GGA
Structure: optimized geometry

a = 7.528 Å, b = 7.528 Å, c = 7.860 Å
α = 61.39°, β = 61.39°, γ = 90.00°
Positions (direct):
Cs 0.250 0.750 0.500
Cl 0.768 0.768 0.000
Cl 0.232 0.768 0.000
Hf 0.000 0.000 0.000
Cl 0.768 0.232 0.000
Cl 0.213 0.213 0.574
C 0.500 0.500 0.000
Cl 0.787 0.787 0.426
Cl 0.232 0.232 0.000
Cs 0.750 0.250 0.500

Results
SG: No. 139
E: -42.40 eV per formula unit
Formation energy without anion corrections: -1.04 eV/atom
Magnetization: 0.20 μB/atom

Compound: ZnAu3F
Source: Alexandria via LeMat-Bulk
Functional: PBE-GGA
Structure: optimized geometry

a = 4.609 Å, b = 4.609 Å, c = 4.609 Å
α = 90.00°, β = 90.00°, γ = 90.00°
Positions (direct):
Zn 0.500 0.500 0.500
Au 0.000 0.000 0.500
Au 0.500 0.000 0.000
Au 0.000 0.500 0.000
F 0.000 0.000 0.000

Results
SG: No. 221
E: -11.34 eV per formula unit
Formation energy without anion corrections: 0.33 eV/atom
Magnetization: 0.00 μB/atom

Compound: LiDy2S
Source: Alexandria via LeMat-Bulk
Functional: PBE-GGA
Structure: optimized geometry

a = 3.728 Å, b = 3.728 Å, c = 8.925 Å
α = 77.94°, β = 77.94°, γ = 59.96°
Positions (direct):
Dy 0.271 0.271 0.188
S 0.667 0.667 0.999
Dy 0.063 0.063 0.812
Li 0.500 0.500 0.500

Results
SG: No. 160
E: -18.60 eV per formula unit
Formation energy without anion corrections: -0.84 eV/atom
Magnetization: 0.03 μB/atom

Compound: NaSn4Hg2
Source: Alexandria via LeMat-Bulk
Functional: PBE-GGA
Structure: optimized geometry

a = 4.918 Å, b = 4.953 Å, c = 9.014 Å
α = 105.94°, β = 90.00°, γ = 90.00°
Positions (direct):
Sn 0.500 0.811 0.622
Sn 0.000 0.693 0.386
Sn 0.500 0.189 0.378
Hg 0.500 0.581 0.163
Hg 0.500 0.419 0.837
Sn 0.000 0.307 0.614
Na 0.000 0.000 0.000

Results
Energy relative to the elements: 5 meV per atom
SG: No. 65
E: -17.90 eV per formula unit
Magnetization: 0.00 μB/atom

Compound: TiNi4Pt7
Source: Alexandria via LeMat-Bulk
Functional: PBE-GGA
Structure: optimized geometry

a = 5.426 Å, b = 8.015 Å, c = 4.754 Å
α = 73.86°, β = 90.93°, γ = 60.84°
Positions (direct):
Pt 0.996 0.335 0.678
Pt 0.742 0.340 0.164
Ni 0.503 0.666 0.343
Pt 0.004 0.665 0.322
Ni 0.497 0.334 0.657
Pt 0.252 0.999 0.492
Ni 0.248 0.335 0.168
Pt 0.500 0.000 0.000
Pt 0.258 0.660 0.836
Ti 0.000 0.000 0.000
Pt 0.748 0.001 0.508
Ni 0.752 0.665 0.832

Results
Energy relative to the elements: -290 meV per atom
SG: No. 2
E: -76.79 eV per formula unit
Magnetization: 0.26 μB/atom

Compound: Pm4SmIn
Source: Alexandria via LeMat-Bulk
Functional: PBE-GGA
Structure: optimized geometry

a = 5.748 Å, b = 6.489 Å, c = 11.059 Å
α = 90.00°, β = 105.06°, γ = 90.00°
Positions (direct):
Pm 0.250 0.051 0.499
Pm 0.188 0.582 0.376
Sm 0.636 0.945 0.272
Pm 0.561 0.426 0.122
Pm 0.812 0.082 0.624
Pm 0.957 0.240 0.914
Sm 0.364 0.445 0.728
Pm 0.750 0.551 0.501
In 0.897 0.690 0.793
In 0.103 0.190 0.207
Pm 0.043 0.740 0.086
Pm 0.439 0.926 0.878

Results
Energy relative to the elements: -23 meV per atom
SG: No. 36
E: -26.60 eV per formula unit
Magnetization: 0.00 μB/atom

Compound: Na2GaGe3
Source: Alexandria via LeMat-Bulk
Functional: PBE-GGA
Structure: optimized geometry

a = 4.790 Å, b = 5.739 Å, c = 5.687 Å
α = 79.08°, β = 65.09°, γ = 65.34°
Positions (direct):
Na 0.567 0.180 0.687
Ge 0.165 0.767 0.902
Ge 0.837 0.587 0.739
Ga 0.159 0.417 0.265
Na 0.434 0.819 0.313
Ge 0.838 0.229 0.095

Results
Energy relative to the elements: -101 meV per atom
SG: No. 8
E: -20.12 eV per formula unit
Magnetization: 0.00 μB/atom

Compound: PmAgGeTe3
Source: Alexandria via LeMat-Bulk
Functional: PBE-GGA
Structure: optimized geometry

a = 4.255 Å, b = 8.725 Å, c = 9.649 Å
α = 101.69°, β = 90.00°, γ = 90.00°
Positions (direct):
Te 0.250 0.582 0.849
Te 0.750 0.418 0.151
Te 0.250 0.098 0.880
Te 0.750 0.266 0.498
Ge 0.250 0.664 0.148
Pm 0.250 0.178 0.243
Te 0.750 0.902 0.120
Ag 0.250 0.082 0.582
Ag 0.750 0.918 0.418
Ge 0.750 0.336 0.852
Pm 0.750 0.822 0.757
Te 0.250 0.734 0.502

Results
SG: No. 11
E: -25.42 eV per formula unit
Formation energy without anion corrections: -0.63 eV/atom
Magnetization: 0.00 μB/atom

Compound: LiPm2Tm3Se6
Source: Alexandria via LeMat-Bulk
Functional: PBE-GGA
Structure: optimized geometry

a = 4.057 Å, b = 8.191 Å, c = 9.148 Å
α = 103.37°, β = 102.81°, γ = 90.00°
Positions (direct):
Tm 0.168 0.830 0.335
Se 0.339 0.407 0.679
Pm 0.829 0.658 0.659
Se 0.997 0.247 0.995
Tm 0.832 0.170 0.665
Se 0.661 0.593 0.321
Se 0.335 0.928 0.670
Se 0.665 0.072 0.330
Pm 0.171 0.342 0.341
Li 0.500 0.000 0.000
Tm 0.500 0.500 0.000
Se 0.003 0.753 0.005

Results
SG: No. 12
E: -66.66 eV per formula unit
Formation energy without anion corrections: -1.74 eV/atom
Magnetization: 0.00 μB/atom

Compound: K2AgSnRh
Source: Alexandria via LeMat-Bulk
Functional: PBE-GGA
Structure: optimized geometry

a = 5.541 Å, b = 5.315 Å, c = 5.541 Å
α = 90.00°, β = 90.00°, γ = 90.00°
Positions (direct):
K 0.000 0.000 0.500
Sn 0.500 0.500 0.500
Ag 0.000 0.500 0.000
K 0.500 0.000 0.000
Rh 0.000 0.000 0.000

Results
Energy relative to the elements: 745 meV per atom
SG: No. 123
E: -12.68 eV per formula unit
Magnetization: 0.00 μB/atom

Compound: SrSb5
Source: Alexandria via LeMat-Bulk
Functional: PBE-GGA
Structure: optimized geometry

a = 6.309 Å, b = 6.309 Å, c = 5.192 Å
α = 90.00°, β = 90.00°, γ = 120.00°
Positions (direct):
Sb 0.333 0.667 0.500
Sr 0.000 0.000 0.500
Sb 0.000 0.610 0.000
Sb 0.390 0.390 0.000
Sb 0.610 0.000 0.000
Sb 0.667 0.333 0.500

Results
SG: No. 189
E: -22.99 eV per formula unit
Formation energy without anion corrections: -0.12 eV/atom
Magnetization: 0.00 μB/atom

Compound: Be2ZnInNi
Source: Alexandria via LeMat-Bulk
Functional: PBE-GGA
Structure: optimized geometry

a = 4.449 Å, b = 4.831 Å, c = 4.449 Å
α = 90.00°, β = 90.00°, γ = 90.00°
Positions (direct):
Be 0.000 0.000 0.500
Zn 0.500 0.500 0.500
Be 0.500 0.000 0.000
Ni 0.000 0.500 0.000
In 0.000 0.000 0.000

Results
Energy relative to the elements: 1148 meV per atom
SG: No. 123
E: -11.51 eV per formula unit
Magnetization: 0.00 μB/atom